*i*
Here is an optimized crystal structure of BaNdO from Alexandria. Energies are from PBE. Values from VASP.

Structure (Quantum ESPRESSO input):
```
&SYSTEM
  ibrav = 0, nat = 6, ntyp = 3
/
ATOMIC_SPECIES
Ba 137.33 Ba.upf
Nd 144.24 Nd.upf
O 16.00 O.upf
CELL_PARAMETERS angstrom
13.924 0.000 0.000
0.000 1.797 3.562
0.000 -1.797 3.562
ATOMIC_POSITIONS crystal
Ba 0.123 0.000 0.000
Ba 0.877 0.000 0.000
Nd 0.381 0.688 0.688
Nd 0.619 0.688 0.688
O 0.000 0.359 0.359
O 0.500 0.193 0.193
```

Summary:
- Magnetic moment: 0.944 μB/cell
- Fermi-level density of states: 2.66 states/eV/f.u.
- Crystal system: orthorhombic

---

*ii*
Here is an optimized crystal structure of BaNdO from Alexandria. Energies are from PBE. Values from VASP.

Structure (Quantum ESPRESSO input):
```
&SYSTEM
  ibrav = 0, nat = 3, ntyp = 3
/
ATOMIC_SPECIES
Ba 137.33 Ba.upf
Nd 144.24 Nd.upf
O 16.00 O.upf
CELL_PARAMETERS angstrom
3.997 0.000 0.000
-1.998 3.461 0.000
0.000 0.000 7.469
ATOMIC_POSITIONS crystal
Ba 0.000 0.000 0.000
Nd 0.667 0.333 0.499
O 0.333 0.667 0.496
```

Summary:
- Magnetic moment: 0.000 μB/cell
- Fermi-level density of states: 2.39 states/eV/f.u.
- Crystal system: trigonal

---

Which one sits at the top of the stability order? *ii* does.

---

*i*
Here is an optimized crystal structure of BaNdO2 from Alexandria. Energies are from PBE. Values from VASP.

Structure (Quantum ESPRESSO input):
```
&SYSTEM
  ibrav = 0, nat = 4, ntyp = 3
/
ATOMIC_SPECIES
Ba 137.33 Ba.upf
Nd 144.24 Nd.upf
O 16.00 O.upf
CELL_PARAMETERS angstrom
1.848 1.067 6.316
-1.848 1.067 6.316
0.000 -2.133 6.316
ATOMIC_POSITIONS crystal
Ba 0.000 0.000 0.000
Nd 0.500 0.500 0.500
O 0.232 0.232 0.232
O 0.768 0.768 0.768
```

Summary:
- Magnetic moment: 0.000 μB/cell
- Fermi-level density of states: 0.98 states/eV/f.u.
- Crystal system: trigonal

---

*ii*
Here is an optimized crystal structure of BaNdO2 from Alexandria. Energies are from PBE. Values from VASP.

Structure (Quantum ESPRESSO input):
```
&SYSTEM
  ibrav = 0, nat = 4, ntyp = 3
/
ATOMIC_SPECIES
Ba 137.33 Ba.upf
Nd 144.24 Nd.upf
O 16.00 O.upf
CELL_PARAMETERS angstrom
1.828 1.055 6.626
-1.828 1.055 6.626
0.000 -2.111 6.626
ATOMIC_POSITIONS crystal
Ba 0.000 0.000 0.000
Nd 0.174 0.174 0.174
O 0.571 0.571 0.571
O 0.776 0.776 0.776
```

Summary:
- Magnetic moment: 0.292 μB/cell
- Fermi-level density of states: 1.61 states/eV/f.u.
- Crystal system: trigonal

---

Which one sits at the top of the stability order? *i* does.

---

*i*
Here is an optimized crystal structure of BaNd2PdO5 from Alexandria. Energies are from PBE. Values from VASP.

Structure (Quantum ESPRESSO input):
```
&SYSTEM
  ibrav = 0, nat = 18, ntyp = 4
/
ATOMIC_SPECIES
Ba 137.33 Ba.upf
Nd 144.24 Nd.upf
Pd 106.42 Pd.upf
O 16.00 O.upf
CELL_PARAMETERS angstrom
-3.396 3.396 6.196
3.396 -3.396 6.196
3.396 3.396 -6.196
ATOMIC_POSITIONS crystal
Ba 0.250 0.250 0.000
Ba 0.750 0.750 0.000
Nd 0.172 0.672 0.844
Nd 0.328 0.172 0.500
Nd 0.672 0.828 0.500
Nd 0.828 0.328 0.156
Pd 0.250 0.750 0.500
Pd 0.750 0.250 0.500
O 0.000 0.000 0.000
O 0.021 0.240 0.500
O 0.240 0.740 0.219
O 0.260 0.479 0.500
O 0.479 0.979 0.219
O 0.500 0.500 0.000
O 0.521 0.021 0.781
O 0.740 0.521 0.500
O 0.760 0.260 0.781
O 0.979 0.760 0.500
```

Summary:
- Magnetic moment: 4.006 μB/cell
- Crystal system: tetragonal

---

*ii*
Here is an optimized crystal structure of BaNd2PdO5 from Alexandria. Energies are from PBE. Values from VASP.

Structure (Quantum ESPRESSO input):
```
&SYSTEM
  ibrav = 0, nat = 18, ntyp = 4
/
ATOMIC_SPECIES
Ba 137.33 Ba.upf
Nd 144.24 Nd.upf
Pd 106.42 Pd.upf
O 16.00 O.upf
CELL_PARAMETERS angstrom
6.812 0.000 0.000
0.000 6.812 0.000
0.000 0.000 5.984
ATOMIC_POSITIONS crystal
Ba 0.000 0.000 0.000
Ba 0.500 0.500 0.000
Nd 0.174 0.326 0.500
Nd 0.326 0.826 0.500
Nd 0.674 0.174 0.500
Nd 0.826 0.674 0.500
Pd 0.000 0.500 0.000
Pd 0.500 0.000 0.000
O 0.000 0.000 0.500
O 0.140 0.640 0.252
O 0.140 0.640 0.748
O 0.360 0.140 0.252
O 0.360 0.140 0.748
O 0.500 0.500 0.500
O 0.640 0.860 0.252
O 0.640 0.860 0.748
O 0.860 0.360 0.252
O 0.860 0.360 0.748
```

Summary:
- Magnetic moment: 0.000 μB/cell
- Fermi-level density of states: 0.00 states/eV/f.u.
- Crystal system: tetragonal

---

Which one sits at the top of the stability order? *ii* does.

---

*i*
Here is an optimized crystal structure of Ba3NdRu2O9 from Alexandria. Energies are from PBE. Values from VASP.

Structure (Quantum ESPRESSO input):
```
&SYSTEM
  ibrav = 0, nat = 30, ntyp = 4
/
ATOMIC_SPECIES
Ba 137.33 Ba.upf
Nd 144.24 Nd.upf
Ru 101.07 Ru.upf
O 16.00 O.upf
CELL_PARAMETERS angstrom
6.009 0.000 0.000
-3.005 5.204 0.000
0.000 0.000 14.913
ATOMIC_POSITIONS crystal
Ba 0.000 0.000 0.250
Ba 0.000 0.000 0.750
Ba 0.333 0.667 0.103
Ba 0.333 0.667 0.397
Ba 0.667 0.333 0.603
Ba 0.667 0.333 0.897
Nd 0.000 0.000 0.000
Nd 0.000 0.000 0.500
Ru 0.333 0.667 0.666
Ru 0.333 0.667 0.834
Ru 0.667 0.333 0.166
Ru 0.667 0.333 0.334
O 0.018 0.509 0.750
O 0.178 0.356 0.593
O 0.178 0.356 0.907
O 0.178 0.822 0.593
O 0.178 0.822 0.907
O 0.356 0.178 0.093
O 0.356 0.178 0.407
O 0.491 0.509 0.750
O 0.491 0.982 0.750
O 0.509 0.018 0.250
O 0.509 0.491 0.250
O 0.644 0.822 0.593
O 0.644 0.822 0.907
O 0.822 0.178 0.093
O 0.822 0.178 0.407
O 0.822 0.644 0.093
O 0.822 0.644 0.407
O 0.982 0.491 0.250
```

Summary:
- Magnetic moment: 5.967 μB/cell
- Fermi-level density of states: 5.03 states/eV/f.u.
- Crystal system: hexagonal

---

*ii*
Here is an optimized crystal structure of Ba3NdRu2O9 from Alexandria. Energies are from PBE. Values from VASP.

Structure (Quantum ESPRESSO input):
```
&SYSTEM
  ibrav = 0, nat = 15, ntyp = 4
/
ATOMIC_SPECIES
Ba 137.33 Ba.upf
Nd 144.24 Nd.upf
Ru 101.07 Ru.upf
O 16.00 O.upf
CELL_PARAMETERS angstrom
5.938 0.000 0.000
-2.969 5.143 0.000
0.000 0.000 7.402
ATOMIC_POSITIONS crystal
Ba 0.000 0.000 0.000
Ba 0.333 0.667 0.689
Ba 0.667 0.333 0.311
Nd 0.000 0.000 0.500
Ru 0.333 0.667 0.159
Ru 0.667 0.333 0.841
O 0.000 0.500 0.000
O 0.178 0.357 0.311
O 0.178 0.822 0.311
O 0.357 0.178 0.689
O 0.500 0.000 0.000
O 0.500 0.500 0.000
O 0.643 0.822 0.311
O 0.822 0.178 0.689
O 0.822 0.643 0.689
```

Summary:
- Magnetic moment: 5.077 μB/cell
- Fermi-level density of states: 5.70 states/eV/f.u.
- Crystal system: trigonal

---

Which one sits at the top of the stability order? *i* does.